A plane-wave DFT calculation with PBE was carried out for a relaxed RuN2Cl2 crystal.

Calculated values
The total energy is -48.88 eV for the cell shown. The value obtained for the size of the total moment is 0.6 μB/f.u. The value obtained for the uncorrected formation energy is 1036 meV per atom. For the energy relative to the lowest polymorph listed for this composition, the calculation gives 505 meV per atom. As for the symmetry: P4/mmm.

```
RuN2Cl2
1.0
5.2950 0.0000 0.0000
0.0000 5.2950 0.0000
0.0000 0.0000 8.1198
Ru N Cl
2 4 4
Direct
0.0000 0.0000 0.0000
0.5000 0.5000 0.0000
0.2500 0.7500 0.0000
0.7500 0.7500 0.0000
0.7500 0.2500 0.0000
0.2500 0.2500 0.0000
0.2500 0.7500 0.5000
0.7500 0.7500 0.5000
0.7500 0.2500 0.5000
0.2500 0.2500 0.5000
```

***

A plane-wave DFT calculation with PBE was carried out for a relaxed TlInW2 crystal.

Calculated values
The total energy is -27.16 eV for the cell shown. The value obtained for the size of the total moment is 0.0 μB/f.u. The calculation puts the formation energy at 93.0 kJ per mole of atoms. For the energy relative to the lowest polymorph listed for this composition, the calculation gives 434 meV per atom. As for the symmetry: I-4m2.

```
TlInW2
1.0
5.1438 0.0081 0.0000
1.6338 4.8774 0.0000
-3.3888 -2.4428 3.0012
In Tl W
1 1 2
Direct
0.5000 0.5000 0.0000
0.7500 0.2500 0.5000
0.0000 0.0000 0.0000
0.2500 0.7500 0.5000
```